# 1
This record from Alexandria via LeMat-Bulk describes NiPd2F after structural relaxation. The functional is GGA+U.

DOS(E_F) = 1.3 states/eV/cell
Uncorrected energy = -14.21 eV/f.u.
Space-group type = I-42d

Lattice parameters (Å, degrees): 6.583 6.583 5.391 52.37 52.37 90.00
Each line ends with the local moment (μB).
Atoms (fractional coordinates):
Pd 0.602 0.125 0.250  0.19
Pd 0.375 0.398 0.750  0.18
Pd 0.148 0.625 0.250  0.18
Pd 0.875 0.852 0.750  0.18
Ni 0.000 0.000 0.000  1.63
Ni 0.750 0.250 0.500  1.63
F 0.250 0.750 0.500  0.01
F 0.500 0.500 0.000  0.02



# 2
This record from Alexandria via LeMat-Bulk describes Ni2PdF8 after structural relaxation. The functional is GGA+U.

Uncorrected energy = -43.83 eV/f.u.
Space-group type = C2/m

Lattice parameters (Å, degrees): 4.222 5.757 5.757 72.15 88.06 88.06
Each line ends with the local moment (μB).
Atoms (fractional coordinates):
F 0.770 0.098 0.693  0.01
F 0.737 0.596 0.596  0.07
F 0.230 0.902 0.307  0.01
F 0.720 0.172 0.172  0.01
F 0.263 0.404 0.404  0.07
F 0.770 0.693 0.098  0.01
F 0.230 0.307 0.902  0.01
F 0.280 0.828 0.828  0.01
Pd 0.000 0.000 0.000  0.02
Ni 0.227 0.617 0.617  1.82
Ni 0.773 0.383 0.383  1.82



# 3
This record from Alexandria via LeMat-Bulk describes NiPdF after structural relaxation. The functional is GGA+U.

DOS(E_F) = 4.1 states/eV/cell
Uncorrected energy = -11.08 eV/f.u.
Space-group type = Cmmm

Lattice parameters (Å, degrees): 4.712 2.765 11.445 90.00 90.00 148.43
Each line ends with the local moment (μB).
Atoms (fractional coordinates):
Ni 0.111 0.222 0.190  1.24
Ni 0.111 0.222 0.810  1.24
Pd 0.611 0.222 0.000  0.09
Pd 0.611 0.223 0.500  -0.38
F 0.611 0.222 0.316  0.01
F 0.611 0.222 0.684  0.01



# 4
This record from Alexandria via LeMat-Bulk describes NiPdF2 after structural relaxation. The functional is GGA+U.

DOS(E_F) = 10.3 states/eV/cell
Uncorrected energy = -14.73 eV/f.u.
Space-group type = I-42d

Lattice parameters (Å, degrees): 6.320 6.320 5.225 52.79 52.79 90.00
Each line ends with the local moment (μB).
Atoms (fractional coordinates):
F 0.212 0.625 0.250  0.04
F 0.375 0.462 0.750  0.04
F 0.538 0.125 0.250  0.04
F 0.875 0.788 0.750  0.04
Pd 0.750 0.250 0.500  0.25
Pd 0.000 0.000 0.000  0.26
Ni 0.500 0.500 0.000  1.73
Ni 0.250 0.750 0.500  1.73



# 5
This record from Alexandria via LeMat-Bulk describes NiPdF4 after structural relaxation. The functional is GGA+U.

DOS(E_F) = 5.8 states/eV/cell
Uncorrected energy = -21.76 eV/f.u.
Space-group type = I-4m2

Lattice parameters (Å, degrees): 5.531 5.531 4.768 125.45 125.45 90.00
Each line ends with the local moment (μB).
Atoms (fractional coordinates):
Ni 0.750 0.250 0.500  1.88
F 0.508 0.008 0.500  0.18
F 0.992 0.492 0.500  0.18
F 0.992 0.008 0.500  0.18
F 0.508 0.492 0.500  0.18
Pd 0.500 0.500 0.000  1.39



# 6
This record from Alexandria via LeMat-Bulk describes NiPd2F after structural relaxation. The functional is GGA+U.

DOS(E_F) = 2.6 states/eV/cell
Uncorrected energy = -14.19 eV/f.u.
Space-group type = Fm-3m

Lattice parameters (Å, degrees): 4.225 4.225 4.225 60.00 60.00 60.00
Each line ends with the local moment (μB).
Atoms (fractional coordinates):
Pd 0.250 0.250 0.250  0.44
Pd 0.750 0.750 0.750  0.44
Ni 0.500 0.500 0.500  1.46
F 0.000 0.000 0.000  0.03



# 7
This record from Alexandria via LeMat-Bulk describes Ni2Pd2F after structural relaxation. The functional is GGA+U.

DOS(E_F) = 2.4 states/eV/cell
Uncorrected energy = -14.08 eV/f.u.
Space-group type = I4/mmm

Lattice parameters (Å, degrees): 3.624 3.624 6.435 73.65 73.65 90.00
Each line ends with the local moment (μB).
Atoms (fractional coordinates):
Ni 0.592 0.592 0.817  1.19
Ni 0.408 0.408 0.183  1.19
Pd 0.750 0.250 0.500  0.20
Pd 0.250 0.750 0.500  0.20
F 0.000 0.000 0.000  0.01



# 8
This record from Alexandria via LeMat-Bulk describes RbNiPdF2 after structural relaxation. The functional is GGA+U.

DOS(E_F) = 2.1 states/eV/cell
Uncorrected energy = -13.85 eV/f.u.
Space-group type = P4/mmm

Lattice parameters (Å, degrees): 4.325 6.092 4.325 90.00 90.00 90.00
Each line ends with the local moment (μB).
Atoms (fractional coordinates):
F 0.500 0.000 0.000  -0.01
F 0.000 0.000 0.500  -0.01
Pd 0.000 0.000 0.000  -0.01
Rb 0.000 0.500 0.000  -0.04
Ni 0.500 0.500 0.500  -1.12



# 9
This record from Alexandria via LeMat-Bulk describes Rb2NiPd3F12 after structural relaxation. The functional is GGA+U.

DOS(E_F) = 4.2 states/eV/cell
Uncorrected energy = -74.55 eV/f.u.
Space-group type = R-3m

Lattice parameters (Å, degrees): 7.433 7.433 7.433 63.77 63.77 63.77
Each line ends with the local moment (μB).
Atoms (fractional coordinates):
F 0.073 0.073 0.685  0.02
F 0.320 0.320 0.944  0.00
F 0.927 0.927 0.315  0.02
F 0.680 0.056 0.680  0.00
F 0.073 0.685 0.073  0.02
F 0.927 0.315 0.927  0.02
F 0.056 0.680 0.680  0.00
F 0.680 0.680 0.056  0.00
F 0.315 0.927 0.927  0.02
F 0.685 0.073 0.073  0.02
F 0.944 0.320 0.320  0.00
F 0.320 0.944 0.320  0.00
Rb 0.648 0.648 0.648  0.00
Rb 0.352 0.352 0.352  0.00
Ni 0.000 0.000 0.000  1.82
Pd 0.000 0.500 0.000  0.03
Pd 0.000 0.000 0.500  0.03
Pd 0.500 0.000 0.000  0.03



# 10
This record from Alexandria via LeMat-Bulk describes SiNiPd2F after structural relaxation. The functional is GGA+U.

DOS(E_F) = 2.0 states/eV/cell
Uncorrected energy = -18.42 eV/f.u.
Space-group type = P4/mmm

Lattice parameters (Å, degrees): 4.626 3.629 4.626 90.00 90.00 90.00
Each line ends with the local moment (μB).
Atoms (fractional coordinates):
Si 0.000 0.500 0.000  0.00
Ni 0.500 0.500 0.500  0.99
Pd 0.000 0.000 0.500  0.01
Pd 0.500 0.000 0.000  0.01
F 0.000 0.000 0.000  0.00



# 11
This record from Alexandria via LeMat-Bulk describes NiSnPd2F after structural relaxation. The functional is GGA+U.

DOS(E_F) = 1.7 states/eV/cell
Uncorrected energy = -14.71 eV/f.u.
Space-group type = P4/mmm

Lattice parameters (Å, degrees): 4.993 4.696 4.993 90.00 90.00 90.00
Atoms (fractional coordinates):
Ni 0.000 0.500 0.000
Sn 0.000 0.000 0.000
Pd 0.500 0.000 0.000
Pd 0.000 0.000 0.500
F 0.500 0.500 0.500



# 12
This record from Alexandria via LeMat-Bulk describes TlNiPdF6 after structural relaxation. The functional is GGA+U.

DOS(E_F) = 10.1 states/eV/cell
Uncorrected energy = -36.50 eV/f.u.
Space-group type = P-31c

Lattice parameters (Å, degrees): 5.498 5.498 11.346 90.00 90.00 120.00
Each line ends with the local moment (μB).
Atoms (fractional coordinates):
F 0.636 0.005 0.347  0.07
F 0.631 0.995 0.847  0.07
F 0.631 0.636 0.653  0.07
F 0.995 0.364 0.153  0.07
F 0.636 0.631 0.153  0.07
F 0.364 0.369 0.847  0.07
F 0.005 0.369 0.653  0.07
F 0.364 0.995 0.653  0.07
F 0.995 0.631 0.347  0.07
F 0.005 0.636 0.847  0.07
F 0.369 0.005 0.153  0.07
F 0.369 0.364 0.347  0.07
Ni 0.333 0.667 0.750  1.83
Ni 0.667 0.333 0.250  1.83
Pd 0.667 0.333 0.750  0.73
Pd 0.333 0.667 0.250  0.73
Tl 0.000 0.000 0.500  -0.02
Tl 0.000 0.000 0.000  -0.02



# 13
This record from Alexandria via LeMat-Bulk describes Tl2Ni3PdF12 after structural relaxation. The functional is GGA+U.

Uncorrected energy = -73.62 eV/f.u.
Space-group type = R-3m

Lattice parameters (Å, degrees): 7.472 7.472 7.472 58.18 58.18 58.18
Each line ends with the local moment (μB).
Atoms (fractional coordinates):
F 0.922 0.326 0.326  0.05
F 0.682 0.073 0.073  0.02
F 0.927 0.927 0.318  0.02
F 0.326 0.922 0.326  0.05
F 0.078 0.674 0.674  0.05
F 0.927 0.318 0.927  0.02
F 0.073 0.682 0.073  0.02
F 0.073 0.073 0.682  0.02
F 0.326 0.326 0.922  0.05
F 0.674 0.078 0.674  0.05
F 0.674 0.674 0.078  0.05
F 0.318 0.927 0.927  0.02
Ni 0.500 0.000 0.000  1.82
Ni 0.000 0.500 0.000  1.82
Ni 0.000 0.000 0.500  1.82
Pd 0.000 0.000 0.000  0.06
Tl 0.600 0.600 0.600  0.00
Tl 0.400 0.400 0.400  0.00



# 14
This record from Alexandria via LeMat-Bulk describes Tl3Ni2PdF9 after structural relaxation. The functional is GGA+U.

Uncorrected energy = -61.22 eV/f.u.
Space-group type = P-3m1

Lattice parameters (Å, degrees): 5.970 5.970 7.337 90.00 90.00 120.00
Each line ends with the local moment (μB).
Atoms (fractional coordinates):
Pd 0.000 0.000 0.500  1.51
Tl 0.667 0.333 0.337  0.00
Tl 0.333 0.667 0.663  0.00
Tl 0.000 0.000 0.000  0.00
F 0.173 0.347 0.322  0.09
F 0.500 0.500 0.000  0.04
F 0.827 0.173 0.678  0.09
F 0.000 0.500 0.000  0.04
F 0.500 0.000 0.000  0.04
F 0.347 0.173 0.678  0.09
F 0.653 0.827 0.322  0.09
F 0.173 0.827 0.322  0.09
F 0.827 0.653 0.678  0.09
Ni 0.333 0.667 0.155  1.86
Ni 0.667 0.333 0.845  1.86



# 15
This record from Alexandria via LeMat-Bulk describes YNiPdF2 after structural relaxation. The functional is GGA+U.

DOS(E_F) = 0.7 states/eV/cell
Uncorrected energy = -26.18 eV/f.u.
Space-group type = P4/mmm

Lattice parameters (Å, degrees): 4.208 5.782 4.208 90.00 90.00 90.00
Each line ends with the local moment (μB).
Atoms (fractional coordinates):
F 0.500 0.000 0.000  0.00
F 0.000 0.000 0.500  0.00
Y 0.000 0.000 0.000  0.00
Pd 0.000 0.500 0.000  0.01
Ni 0.500 0.500 0.500  1.00



# 16
This record from Alexandria via LeMat-Bulk describes Zn2NiPdF after structural relaxation. The functional is GGA+U.

DOS(E_F) = 2.8 states/eV/cell
Uncorrected energy = -10.74 eV/f.u.
Space-group type = P4/mmm

Lattice parameters (Å, degrees): 4.850 4.058 4.850 90.00 90.00 90.00
Each line ends with the local moment (μB).
Atoms (fractional coordinates):
Zn 0.500 0.000 0.000  0.00
Zn 0.000 0.000 0.500  0.00
Ni 0.500 0.500 0.500  -1.52
F 0.000 0.500 0.000  0.00
Pd 0.000 0.000 0.000  0.01



# 17
This record from Alexandria via LeMat-Bulk describes PmNi2F8 after structural relaxation. The functional is GGA+U.

DOS(E_F) = 2.7 states/eV/cell
Uncorrected energy = -53.19 eV/f.u.
Space-group type = C2/m

Lattice parameters (Å, degrees): 4.098 6.018 7.679 129.69 89.98 98.19
Each line ends with the local moment (μB).
Atoms (fractional coordinates):
Ni 0.289 0.252 0.626  1.99
Ni 0.711 0.748 0.374  1.99
F 0.770 0.767 0.136  0.15
F 0.370 0.688 0.844  0.06
F 0.769 0.202 0.601  0.10
F 0.230 0.232 0.369  0.15
F 0.230 0.233 0.864  0.15
F 0.231 0.798 0.399  0.10
F 0.770 0.768 0.631  0.15
F 0.630 0.312 0.156  0.06
Pm 0.000 0.000 0.000  0.01



# 18
This record from Alexandria via LeMat-Bulk describes PmNi2F6 after structural relaxation. The functional is GGA+U.

DOS(E_F) = 7.6 states/eV/cell
Uncorrected energy = -44.67 eV/f.u.
Space-group type = P-31m

Lattice parameters (Å, degrees): 5.093 5.352 5.352 120.00 90.00 90.00
Each line ends with the local moment (μB).
Atoms (fractional coordinates):
F 0.730 0.344 0.000  0.03
F 0.270 0.000 0.656  0.03
F 0.730 0.000 0.344  0.03
F 0.270 0.344 0.344  0.03
F 0.730 0.656 0.656  0.03
F 0.270 0.656 0.000  0.03
Ni 0.500 0.333 0.667  1.51
Ni 0.500 0.667 0.333  1.51
Pm 0.000 0.000 0.000  -0.03



# 19
This record from Alexandria via LeMat-Bulk describes Pm2NiF8 after structural relaxation. The functional is GGA+U.

DOS(E_F) = 0.0 states/eV/cell
Uncorrected energy = -66.21 eV/f.u.
Space-group type = C2/m

Lattice parameters (Å, degrees): 4.656 6.121 6.121 73.55 105.46 105.46
Each line ends with the local moment (μB).
Atoms (fractional coordinates):
F 0.769 0.132 0.132  0.03
F 0.231 0.868 0.868  0.03
F 0.269 0.953 0.331  0.02
F 0.196 0.418 0.418  0.00
F 0.804 0.582 0.582  0.00
F 0.269 0.331 0.953  0.02
F 0.731 0.047 0.669  0.02
F 0.731 0.669 0.047  0.02
Pm 0.376 0.677 0.677  0.01
Pm 0.624 0.323 0.323  0.01
Ni 0.000 0.000 0.000  1.85



# 20
This record from Alexandria via LeMat-Bulk describes Pr3Ni5F12 after structural relaxation. The functional is GGA+U.

DOS(E_F) = 44.6 states/eV/cell
Uncorrected energy = -90.72 eV/f.u.
Space-group type = Ia-3d

Lattice parameters (Å, degrees): 11.622 11.622 11.622 109.47 109.47 109.47
Each line ends with the local moment (μB).
Atoms (fractional coordinates):
Pr 0.375 0.625 0.250  -0.07
Pr 0.250 0.625 0.875  -0.07
Pr 0.375 0.750 0.625  -0.07
Pr 0.875 0.125 0.250  -0.07
Pr 0.750 0.375 0.125  -0.07
Pr 0.625 0.375 0.750  -0.07
Pr 0.750 0.875 0.625  -0.07
Pr 0.125 0.250 0.875  -0.07
Pr 0.250 0.125 0.375  -0.07
Pr 0.875 0.750 0.125  -0.07
Pr 0.625 0.250 0.375  -0.07
Pr 0.125 0.875 0.750  -0.07
F 0.657 0.445 0.575  0.02
F 0.870 0.288 0.445  0.02
F 0.212 0.657 0.082  0.02
F 0.925 0.843 0.555  0.02
F 0.843 0.918 0.288  0.02
F 0.925 0.082 0.870  0.02
F 0.288 0.418 0.843  0.02
F 0.370 0.425 0.082  0.02
F 0.712 0.582 0.157  0.02
F 0.343 0.555 0.425  0.02
F 0.157 0.082 0.712  0.02
F 0.945 0.575 0.157  0.02
F 0.630 0.575 0.918  0.02
F 0.418 0.130 0.575  0.02
F 0.945 0.370 0.288  0.02
F 0.418 0.288 0.343  0.02
F 0.555 0.343 0.925  0.02
F 0.075 0.918 0.130  0.02
F 0.055 0.630 0.712  0.02
F 0.212 0.555 0.630  0.02
F 0.343 0.788 0.418  0.02
F 0.918 0.843 0.788  0.02
F 0.712 0.130 0.055  0.02
F 0.630 0.055 0.212  0.02
F 0.370 0.945 0.788  0.02
F 0.082 0.157 0.212  0.02
F 0.657 0.212 0.582  0.02
F 0.918 0.075 0.630  0.02
F 0.425 0.055 0.343  0.02
F 0.425 0.370 0.582  0.02
F 0.288 0.870 0.945  0.02
F 0.445 0.657 0.075  0.02
F 0.788 0.445 0.370  0.02
F 0.082 0.925 0.370  0.02
F 0.575 0.630 0.418  0.02
F 0.555 0.212 0.130  0.02
F 0.130 0.712 0.555  0.02
F 0.157 0.075 0.945  0.02
F 0.575 0.945 0.657  0.02
F 0.582 0.870 0.425  0.02
F 0.843 0.925 0.055  0.02
F 0.582 0.712 0.657  0.02
F 0.055 0.425 0.843  0.02
F 0.075 0.157 0.445  0.02
F 0.130 0.418 0.075  0.02
F 0.445 0.788 0.870  0.02
F 0.788 0.343 0.918  0.02
F 0.870 0.582 0.925  0.02
Ni 0.500 0.500 0.500  1.57
Ni 0.000 0.500 0.000  1.57
Ni 0.875 0.625 0.750  1.22
Ni 0.125 0.750 0.375  1.22
Ni 0.625 0.875 0.250  1.22
Ni 0.500 0.500 0.000  1.57
Ni 0.000 0.000 0.000  1.57
Ni 0.375 0.250 0.125  1.22
Ni 0.375 0.125 0.750  1.22
Ni 0.250 0.375 0.625  1.22
Ni 0.000 0.500 0.500  1.57
Ni 0.625 0.750 0.875  1.22
Ni 0.500 0.000 0.500  1.57
Ni 0.500 0.000 0.000  1.57
Ni 0.000 0.000 0.500  1.57
Ni 0.750 0.125 0.875  1.22
Ni 0.125 0.375 0.250  1.22
Ni 0.875 0.250 0.625  1.22
Ni 0.250 0.875 0.125  1.22
Ni 0.750 0.625 0.375  1.22